No. 1
# Y2AgHg, relaxed, DFT PBE
# total magnetic moment = 0.0001 μB per atom
# DFT formation energy = -3 kJ per mole of atoms
data_Y2AgHg
_chemical_formula_sum 'Y8 Ag4 Hg4'
_space_group_name_H-M_alt 'I -4 2 d'
_space_group_IT_number 122
_space_group_name_Hall 'I -4 2bw'
_cell_length_a 7.955
_cell_length_b 7.955
_cell_length_c 7.170
_cell_angle_alpha 90.00
_cell_angle_beta 90.00
_cell_angle_gamma 90.00
loop_
_atom_site_label
_atom_site_fract_x
_atom_site_fract_y
_atom_site_fract_z
Y1 0.241 0.750 0.125
Ag1 0.000 0.000 0.000
Hg1 0.000 0.000 0.500


No. 2
# YAgHg3, relaxed, DFT PBE
# total magnetic moment = 0.0000 μB per atom
# E above lowest polymorph = 0.0 meV per atom
# DFT formation energy = -24 kJ per mole of atoms
data_YAgHg3
_chemical_formula_sum 'Y2 Ag2 Hg6'
_space_group_name_H-M_alt 'P 1 21/m 1'
_space_group_IT_number 11
_cell_length_a 5.078
_cell_length_b 5.099
_cell_length_c 9.210
_cell_angle_alpha 90.00
_cell_angle_beta 105.80
_cell_angle_gamma 90.00
loop_
_space_group_symop_operation_xyz
'x,y,z'
'-x,-y,-z'
'-x,y+1/2,-z'
'x,-y+1/2,z'
loop_
_atom_site_label
_atom_site_fract_x
_atom_site_fract_y
_atom_site_fract_z
Y1 0.150 0.250 0.303
Ag1 0.343 0.250 0.687
Hg1 0.051 0.750 0.101
Hg2 0.249 0.750 0.498
Hg3 0.449 0.750 0.895


No. 3
# Y2AgHg4, relaxed, DFT PBE
# total magnetic moment = 0.0000 μB per atom
# DFT formation energy = -28 kJ per mole of atoms
data_Y2AgHg4
_chemical_formula_sum 'Y6 Ag3 Hg12'
_space_group_name_H-M_alt 'R -3 m'
_space_group_IT_number 166
_space_group_name_Hall '-R 3 2"'
_cell_length_a 5.2188
_cell_length_b 5.2188
_cell_length_c 21.7521
_cell_angle_alpha 90.00
_cell_angle_beta 90.00
_cell_angle_gamma 120.00
loop_
_atom_site_label
_atom_site_fract_x
_atom_site_fract_y
_atom_site_fract_z
Y1 0.0000 0.0000 0.2263
Ag1 0.0000 0.0000 0.5000
Hg1 0.0000 0.0000 0.0826
Hg2 0.0000 0.0000 0.3683


No. 4
# YAg2Hg, relaxed, DFT PBE
# total magnetic moment = 0.0000 μB per atom
# DFT formation energy = -27 kJ per mole of atoms
data_YAg2Hg
_chemical_formula_sum 'Y2 Ag4 Hg2'
_space_group_name_H-M_alt 'I -4 m 2'
_space_group_IT_number 119
_space_group_name_Hall 'I -4 -2'
_cell_length_a 4.639
_cell_length_b 4.639
_cell_length_c 8.046
_cell_angle_alpha 90.00
_cell_angle_beta 90.00
_cell_angle_gamma 90.00
loop_
_atom_site_label
_atom_site_fract_x
_atom_site_fract_y
_atom_site_fract_z
Y1 0.000 0.000 0.000
Ag1 0.000 0.000 0.500
Ag2 0.000 0.500 0.250
Hg1 0.000 0.500 0.750


No. 5
# Y2AgHg, relaxed, DFT PBE
# total magnetic moment = 0.1542 μB per atom
# DFT formation energy = -8 kJ per mole of atoms
data_Y2AgHg
_chemical_formula_sum 'Y6 Ag3 Hg3'
_space_group_name_H-M_alt 'R 3 m'
_space_group_IT_number 160
_space_group_name_Hall 'R 3 -2"'
_cell_length_a 3.6265
_cell_length_b 3.6265
_cell_length_c 28.7657
_cell_angle_alpha 90.00
_cell_angle_beta 90.00
_cell_angle_gamma 120.00
loop_
_atom_site_label
_atom_site_fract_x
_atom_site_fract_y
_atom_site_fract_z
Y1 0.0000 0.0000 0.0000
Y2 0.0000 0.0000 0.2335
Ag1 0.0000 0.0000 0.7457
Hg1 0.0000 0.0000 0.4842


No. 6
# Y2AgHg, relaxed, DFT PBE
# total magnetic moment = 0.2158 μB per atom
# DFT formation energy = -6 kJ per mole of atoms
data_Y2AgHg
_chemical_formula_sum 'Y8 Ag4 Hg4'
_space_group_name_H-M_alt 'F -4 3 m'
_space_group_IT_number 216
_space_group_name_Hall 'F -4 2 3'
_cell_length_a 7.264
_cell_length_b 7.264
_cell_length_c 7.264
_cell_angle_alpha 90.00
_cell_angle_beta 90.00
_cell_angle_gamma 90.00
loop_
_atom_site_label
_atom_site_fract_x
_atom_site_fract_y
_atom_site_fract_z
Y1 0.000 0.000 0.000
Y2 0.250 0.250 0.250
Ag1 0.000 0.000 0.500
Hg1 0.250 0.250 0.750


No. 7
# Y2AgHg5, relaxed, DFT PBE
# total magnetic moment = 0.0000 μB per atom
# DFT formation energy = -18 kJ per mole of atoms
data_Y2AgHg5
_chemical_formula_sum 'Y6 Ag3 Hg15'
_space_group_name_H-M_alt 'R -3 m'
_space_group_IT_number 166
_space_group_name_Hall '-R 3 2"'
_cell_length_a 4.7253
_cell_length_b 4.7253
_cell_length_c 32.5355
_cell_angle_alpha 90.00
_cell_angle_beta 90.00
_cell_angle_gamma 120.00
loop_
_atom_site_label
_atom_site_fract_x
_atom_site_fract_y
_atom_site_fract_z
Y1 0.0000 0.0000 0.0939
Ag1 0.0000 0.0000 0.0000
Hg1 0.0000 0.0000 0.2012
Hg2 0.0000 0.0000 0.3719
Hg3 0.0000 0.0000 0.5000


No. 8
# Y2Ag2Hg, relaxed, DFT PBE
# total magnetic moment = 0.0000 μB per atom
# E above lowest polymorph = 226.6 meV per atom
# DFT formation energy = -16 kJ per mole of atoms
data_Y2Ag2Hg
_chemical_formula_sum 'Y4 Ag4 Hg2'
_space_group_name_H-M_alt 'I 4/m m m'
_space_group_IT_number 139
_space_group_name_Hall '-I 4 2'
_cell_length_a 3.833
_cell_length_b 3.833
_cell_length_c 17.215
_cell_angle_alpha 90.00
_cell_angle_beta 90.00
_cell_angle_gamma 90.00
loop_
_atom_site_label
_atom_site_fract_x
_atom_site_fract_y
_atom_site_fract_z
Y1 0.000 0.000 0.105
Ag1 0.000 0.500 0.250
Hg1 0.000 0.000 0.500